VASP calculation (PBE) on a relaxed RbIn2Os crystal.

Properties
For the total energy, the calculation gives -30.56 eV per cell. As for the crystal system: tetragonal. The calculation puts the density of states at the Fermi level at 4.10 states/eV/f.u. The calculation puts the formation energy at 2.39 eV per formula unit. The space group is I-42d (122). The mass density is 4.90 g cm⁻³. The value obtained for the distance to the lowest polymorph of the same formula is 0 meV/atom.

a = 9.086 Å, b = 9.086 Å, c = 9.086 Å
α = 137.16°, β = 137.16°, γ = 62.19°
Sites, in units of the cell vectors:
Rb1 0.000 0.000 0.000
Rb2 0.750 0.250 0.500
In1 0.374 0.625 0.249
In2 0.375 0.624 0.749
In3 0.376 0.125 0.751
In4 0.875 0.626 0.251
Os1 0.250 0.750 0.500
Os2 0.500 0.500 0.000